No. 1
! NdGdCd2In2 (PBE, relaxed); values from VASP
&SYSTEM
  ibrav = 0, nat = 6, ntyp = 4
/
ATOMIC_SPECIES
Nd 144.24 Nd.upf
Gd 157.25 Gd.upf
Cd 112.41 Cd.upf
In 114.82 In.upf
CELL_PARAMETERS angstrom
4.9597 0.0000 0.0000
-2.4798 4.2952 0.0000
0.0000 0.0000 7.3389
ATOMIC_POSITIONS crystal
Nd 0.0000 0.0000 0.0000
Gd 0.0000 0.0000 0.5000
Cd 0.3333 0.6667 0.2694
Cd 0.6667 0.3333 0.7306
In 0.3333 0.6667 0.7447
In 0.6667 0.3333 0.2553
! theoretical density: 8.03 g/cm3
! space group: P-3m1 (164)
! M_tot: 0.1 μB per cell
! calculated total energy: -3.21 eV/atom

---

No. 2
! NdGdCd2In2 (PBE, relaxed); values from VASP
&SYSTEM
  ibrav = 0, nat = 6, ntyp = 4
/
ATOMIC_SPECIES
Nd 144.24 Nd.upf
Gd 157.25 Gd.upf
Cd 112.41 Cd.upf
In 114.82 In.upf
CELL_PARAMETERS angstrom
4.8908 0.0000 0.0000
-2.4454 4.2355 0.0000
0.0000 0.0000 7.5776
ATOMIC_POSITIONS crystal
Nd 0.0000 0.0000 0.0000
Gd 0.0000 0.0000 0.5005
Cd 0.3333 0.6667 0.2128
Cd 0.6667 0.3333 0.7025
In 0.3333 0.6667 0.7817
In 0.6667 0.3333 0.2895
! theoretical density: 8.00 g/cm3
! space group: P3m1 (156)
! M_tot: 0.0 μB per cell
! calculated total energy: -3.25 eV/atom

---

No. 3
! NdGd2Zn3CdIn2 (PBE, relaxed); values from VASP
&SYSTEM
  ibrav = 0, nat = 9, ntyp = 5
/
ATOMIC_SPECIES
Nd 144.24 Nd.upf
Gd 157.25 Gd.upf
Zn 65.41 Zn.upf
Cd 112.41 Cd.upf
In 114.82 In.upf
CELL_PARAMETERS angstrom
4.6232 0.0000 0.0000
0.0000 6.3360 3.6151
0.0000 -6.3360 3.6151
ATOMIC_POSITIONS crystal
Nd 0.0000 0.0000 0.0000
Gd 0.0000 0.4220 0.8471
Gd 0.0000 0.8471 0.4220
Zn 0.5000 0.1908 0.4245
Zn 0.5000 0.4245 0.1908
Zn 0.5000 0.6586 0.6586
Cd 0.0000 0.4307 0.4307
In 0.5000 0.0912 0.7537
In 0.5000 0.7537 0.0912
! theoretical density: 7.82 g/cm3
! space group: Amm2 (38)
! M_tot: 0.0 μB per cell
! calculated total energy: -3.06 eV/atom

---

No. 4
! GdCdInO3 (PBE, relaxed); values from VASP
&SYSTEM
  ibrav = 0, nat = 12, ntyp = 4
/
ATOMIC_SPECIES
Gd 157.25 Gd.upf
Cd 112.41 Cd.upf
In 114.82 In.upf
O 16.00 O.upf
CELL_PARAMETERS angstrom
1.6436 -8.7566 0.0000
1.6436 8.7566 0.0000
0.0000 0.0000 7.2368
ATOMIC_POSITIONS crystal
Gd 0.0000 0.0000 0.0000
Gd 0.0000 0.0000 0.5000
Cd 0.3429 0.6571 0.7500
Cd 0.6571 0.3429 0.2500
In 0.3503 0.6497 0.2500
In 0.6497 0.3503 0.7500
O 0.1202 0.8798 0.0429
O 0.1202 0.8798 0.4571
O 0.2214 0.7786 0.7500
O 0.7786 0.2214 0.2500
O 0.8798 0.1202 0.5429
O 0.8798 0.1202 0.9571
! theoretical density: 6.90 g/cm3
! space group: Cmcm (63)
! M_tot: 0.0 μB per cell
! calculated total energy: -5.04 eV/atom